TlSbAu4 after structural relaxation. Source: Alexandria via LeMat-Bulk, functional GGA-PBE.

a b c (Å): 5.6863 5.6863 5.6863
angles (deg): 60.00 60.00 60.00
Last column: nearest neighbours and their distance in Å.
Fractional positions:
Tl  0.0000  0.0000  0.0000  12 Au 3.33, 4 Sb 3.48
Sb  0.7500  0.7500  0.7500  12 Au 3.33, 4 Tl 3.48
Au  0.3751  0.3751  0.3751  6 Au 2.84-2.85
Au  0.3751  0.3751  0.8746  6 Au 2.84-2.85
Au  0.3751  0.8746  0.3751  6 Au 2.84-2.85
Au  0.8746  0.3751  0.3751  6 Au 2.84-2.85

- Total energy: -3.237 eV/atom
- Energy relative to the lowest polymorph listed for this composition: 0.004 eV/atom
- Total magnetic moment: 0.00 μB/cell